This record from the Alexandria database describes PmTmZn2 after structural relaxation. The functional is GGA-PBE.

## Properties
total magnetization: 0.001 Bohr magnetons per cell
energy of formation from the pure elements: -327 meV per atom
uncorrected energy: -3.270 eV per atom
space-group type: P4/mmm

Unit cell a=3.559 b=3.559 c=7.299 alpha=90.00 beta=90.00 gamma=90.00
Positions (direct):
Pm 0.000 0.000 0.000
Tm 0.000 0.000 0.500
Zn 0.500 0.500 0.271
Zn 0.500 0.500 0.729